No. 1
Material: K3C4
Method: DFT, PBE
State: relaxed

Unit cell a=7.0541 b=7.0541 c=7.0541 alpha=90.00 beta=90.00 gamma=90.00
Fractional coordinates of all 7 atoms:
K 0.0000 0.0000 0.5000
K 0.0000 0.5000 0.0000
K 0.5000 0.0000 0.0000
C 0.2124 0.2124 0.2124
C 0.2124 0.7876 0.7876
C 0.7876 0.2124 0.7876
C 0.7876 0.7876 0.2124

Calculated values
Crystal system: cubic
Polymorph energy (0 for the lowest one), meV/atom: 1407
E_form, meV per atom: 3109
Uncorrected energy, eV per atom: -2.633
Volume, Å³ per cell: 351.02

---

No. 2
Material: DyEr8Sc6
Method: DFT, PBE
State: relaxed

Unit cell a=7.8537 b=7.8537 c=7.8537 alpha=72.67 beta=72.67 gamma=72.67
Fractional coordinates of all 15 atoms:
Dy 0.0000 0.0000 0.0000
Er 0.0677 0.6371 0.7720
Er 0.2280 0.9323 0.3629
Er 0.3629 0.2280 0.9323
Er 0.4093 0.4093 0.4093
Er 0.5907 0.5907 0.5907
Er 0.6371 0.7720 0.0677
Er 0.7720 0.0677 0.6371
Er 0.9323 0.3629 0.2280
Sc 0.0575 0.2899 0.6130
Sc 0.2899 0.6130 0.0575
Sc 0.3870 0.9425 0.7101
Sc 0.6130 0.0575 0.2899
Sc 0.7101 0.3870 0.9425
Sc 0.9425 0.7101 0.3870

Calculated values
Crystal system: trigonal
Polymorph energy (0 for the lowest one), meV/atom: 0
E_form, meV per atom: 191
Uncorrected energy, eV per atom: -5.082
Volume, Å³ per cell: 429.66